Density functional theory data (GGA-PBE) for PmLuCuAg after structural relaxation.

Results
ΔH_f (0 K)   -0.2360 eV/atom
VASP energy   -68.7 eV per cell

abc: 7.1558 7.1558 7.1558
angles: 90.00 90.00 90.00
Atoms (fractional coordinates):
Pm (0.0000, 0.0000, 0.0000)
Pm (0.0000, 0.5000, 0.5000)
Pm (0.5000, 0.0000, 0.5000)
Pm (0.5000, 0.5000, 0.0000)
Lu (0.0000, 0.0000, 0.5000)
Lu (0.0000, 0.5000, 0.0000)
Lu (0.5000, 0.0000, 0.0000)
Lu (0.5000, 0.5000, 0.5000)
Cu (0.2500, 0.2500, 0.2500)
Cu (0.2500, 0.7500, 0.7500)
Cu (0.7500, 0.2500, 0.7500)
Cu (0.7500, 0.7500, 0.2500)
Ag (0.2500, 0.2500, 0.7500)
Ag (0.2500, 0.7500, 0.2500)
Ag (0.7500, 0.2500, 0.2500)
Ag (0.7500, 0.7500, 0.7500)



Density functional theory data (GGA-PBE) for LuCuAgPt after structural relaxation.

Results
ΔH_f (0 K)   -0.5064 eV/atom
VASP energy   -78.1 eV per cell

abc: 6.5847 6.5847 6.5847
angles: 90.00 90.00 90.00
Atoms (fractional coordinates):
Lu (0.0000, 0.0000, 0.0000)
Lu (0.0000, 0.5000, 0.5000)
Lu (0.5000, 0.0000, 0.5000)
Lu (0.5000, 0.5000, 0.0000)
Cu (0.2500, 0.2500, 0.2500)
Cu (0.2500, 0.7500, 0.7500)
Cu (0.7500, 0.2500, 0.7500)
Cu (0.7500, 0.7500, 0.2500)
Ag (0.0000, 0.0000, 0.5000)
Ag (0.0000, 0.5000, 0.0000)
Ag (0.5000, 0.0000, 0.0000)
Ag (0.5000, 0.5000, 0.5000)
Pt (0.2500, 0.2500, 0.7500)
Pt (0.2500, 0.7500, 0.2500)
Pt (0.7500, 0.2500, 0.2500)
Pt (0.7500, 0.7500, 0.7500)